Computed, not measured: LiNd2DyTl4 after structural relaxation at the GGA-PBE level of DFT.

Cell: 5.3166 5.3166 27.0268 Å, 90.00 90.00 120.00°
Last column: nearest neighbours and their distance in Å.
Space group R-3m (No. 166, hexagonal axes)
One atom of each set of equivalent atoms:
Li 0.0000 0.0000 0.0000 (multiplicity 3)  8 Tl 3.26-3.38
Nd 0.0000 0.0000 0.2559 (multiplicity 6)  8 Tl 3.19-3.54
Dy 0.0000 0.0000 0.5000 (multiplicity 3)  8 Tl 3.27-3.40
Tl 0.0000 0.0000 0.1249 (multiplicity 6)  3 Dy 3.27, 4 Nd 3.33-3.54, 1 Li 3.38
Tl 0.0000 0.0000 0.3741 (multiplicity 6)  4 Nd 3.19-3.23, 3 Li 3.26, 1 Dy 3.40

Computed properties:
* total magnetic moment: 0.000 μB per formula unit
* DOS(E_F): 14.9 states/eV per cell
* energy relative to the elements: -346 meV/atom
* calculated density: 9.604 g cm⁻³